Record 1
{"formula": "Cu2ReTeH", "functional": "PBEsol", "state": "relaxed", "lattice_angstrom": [[-2.0153, 3.9349, -1.7523], [-2.3360, 0.6269, 4.0945], [3.8861, 2.7876, 1.7903]], "species": ["Cu", "Cu", "H", "Te", "Re"], "fractional_positions": [[0.5000, 0.0000, 0.0000], [0.0000, 0.5000, 0.0000], [0.5000, 0.5000, 0.5000], [0.0000, 0.0000, 0.0000], [0.0000, 0.0000, 0.5000]]}



Record 2
{"formula": "Cu2H2Rh", "functional": "PBEsol", "state": "relaxed", "lattice_angstrom": [[3.7762, 0.0000, 0.0000], [0.0000, 4.8958, 0.0000], [0.0000, 0.0000, 4.8958]], "species": ["H", "Rh", "H", "H", "Cu", "H", "Cu", "Cu", "Cu", "Rh"], "fractional_positions": [[0.0000, 0.8067, 0.6933], [0.0000, 0.5000, 0.5000], [0.0000, 0.6933, 0.1933], [0.0000, 0.1933, 0.3067], [0.5000, 0.3110, 0.8110], [0.0000, 0.3067, 0.8067], [0.5000, 0.8110, 0.6890], [0.5000, 0.1890, 0.3110], [0.5000, 0.6890, 0.1890], [0.0000, 0.0000, 0.0000]]}



Record 3
{"formula": "CuH2Rh", "functional": "PBEsol", "state": "relaxed", "lattice_angstrom": [[-3.8616, 0.6791, 0.2229], [-0.3209, -0.5528, -3.8749], [1.4071, -4.1640, 2.4677]], "species": ["Rh", "H", "Cu", "Cu", "Rh", "H", "H", "H"], "fractional_positions": [[0.2500, 0.7500, 0.5000], [0.8800, 0.3750, 0.2500], [0.7500, 0.2500, 0.5000], [0.5000, 0.5000, 0.0000], [0.0000, 0.0000, 0.0000], [0.6250, 0.6300, 0.7500], [0.1250, 0.1200, 0.7500], [0.3700, 0.8750, 0.2500]]}



no.,raw total energy (eV per atom),N(E_F) (states/eV/atom)
1,-3.73,0.616
2,-4.65,0.397
3,-4.72,0.394